## Pm6CoTe2 (PBE)

Data for Pm6CoTe2 after structural relaxation.

Calculated values
- magnetic moment (μB per formula unit) = 0.009
- total DFT energy (no corrections) (eV for the cell shown) = -48.0

a = 3.949 Å, b = 8.604 Å, c = 8.604 Å
α = 120.01°, β = 90.00°, γ = 90.00°
Fractional coordinates of all 9 atoms:
Co: 0.500 0.000 0.000
Pm: 0.500 0.410 0.000
Pm: 0.000 0.763 0.000
Pm: 0.000 0.237 0.237
Pm: 0.500 0.000 0.410
Pm: 0.500 0.590 0.590
Pm: 0.000 0.000 0.763
Te: 0.000 0.667 0.333
Te: 0.000 0.333 0.667

***

## PmThCo (PBE)

Data for PmThCo after structural relaxation.

Calculated values
- magnetic moment (μB per formula unit) = 0.008
- formation enthalpy at 0 K (meV/atom) = 754.5

a = 4.771 Å, b = 4.771 Å, c = 4.771 Å
α = 60.00°, β = 60.00°, γ = 60.00°
Fractional coordinates of all 3 atoms:
Co: 0.000 0.000 0.000
Pm: 0.500 0.500 0.500
Th: 0.250 0.250 0.250

***

## Pm2ThCo2 (PBE)

Data for Pm2ThCo2 after structural relaxation.

Calculated values
- magnetic moment (μB per formula unit) = 0.001
- formation enthalpy at 0 K (meV/atom) = -204.6

a = 6.181 Å, b = 6.181 Å, c = 7.175 Å
α = 99.35°, β = 99.35°, γ = 60.79°
Fractional coordinates of all 10 atoms:
Co: 0.997 0.313 0.010
Co: 0.687 0.003 0.490
Co: 0.313 0.997 0.510
Co: 0.003 0.687 0.990
Pm: 0.552 0.756 0.149
Pm: 0.244 0.448 0.351
Pm: 0.756 0.552 0.649
Pm: 0.448 0.244 0.851
Th: 0.924 0.076 0.250
Th: 0.076 0.924 0.750

***

## Pm6Tl2Co (PBE)

Data for Pm6Tl2Co after structural relaxation.

Calculated values
- magnetic moment (μB per formula unit) = 0.041
- total DFT energy (no corrections) (eV for the cell shown) = -42.3

a = 3.799 Å, b = 8.943 Å, c = 8.943 Å
α = 119.97°, β = 90.00°, γ = 90.00°
Fractional coordinates of all 9 atoms:
Co: 0.500 0.001 0.001
Pm: 0.000 0.232 0.232
Pm: 0.500 0.000 0.401
Pm: 0.500 0.598 0.598
Pm: 0.000 0.000 0.769
Pm: 0.500 0.401 0.000
Pm: 0.000 0.769 0.000
Tl: 0.000 0.666 0.333
Tl: 0.000 0.333 0.666

***

## PmUCo (PBE)

Data for PmUCo after structural relaxation.

Calculated values
- magnetic moment (μB per formula unit) = 0.264
- polymorph energy (0 for the lowest one) (meV per atom) = 0
- formation enthalpy at 0 K (meV/atom) = 517.5

a = 4.573 Å, b = 4.573 Å, c = 4.573 Å
α = 60.00°, β = 60.00°, γ = 60.00°
Fractional coordinates of all 3 atoms:
Co: 0.000 0.000 0.000
Pm: 0.250 0.250 0.250
U: 0.750 0.750 0.750

***

## PmCoW (PBE)

Data for PmCoW after structural relaxation.

Calculated values
- magnetic moment (μB per formula unit) = 2.402
- formation enthalpy at 0 K (meV/atom) = 1889.7

a = 4.490 Å, b = 4.490 Å, c = 4.490 Å
α = 60.00°, β = 60.00°, γ = 60.00°
Fractional coordinates of all 3 atoms:
Co: 0.250 0.250 0.250
Pm: 0.000 0.000 0.000
W: 0.750 0.750 0.750

***

## PrCo8 (PBE)

Data for PrCo8 after structural relaxation.

Calculated values
- magnetic moment (μB per formula unit) = 0.087
- formation enthalpy at 0 K (meV/atom) = 1368.0

a = 8.004 Å, b = 8.004 Å, c = 2.518 Å
α = 90.00°, β = 90.00°, γ = 120.00°
Last column: magnetic moment on the atom in μB.
Fractional coordinates of all 9 atoms:
Co: 0.359 0.180 0.000  0.00
Co: 0.820 0.180 0.000  -0.01
Co: 0.667 0.333 0.000  -0.01
Co: 0.180 0.359 0.000  0.00
Co: 0.820 0.641 0.000  0.00
Co: 0.333 0.667 0.000  -0.01
Co: 0.180 0.820 0.000  -0.01
Co: 0.641 0.820 0.000  0.00
Pr: 0.000 0.000 0.500  -0.06

***

## PrCo3 (PBE)

Data for PrCo3 after structural relaxation.

Calculated values
- magnetic moment (μB per formula unit) = 3.719
- formation enthalpy at 0 K (meV/atom) = 433.5

a = 4.774 Å, b = 4.774 Å, c = 4.774 Å
α = 130.76°, β = 130.76°, γ = 72.20°
Last column: magnetic moment on the atom in μB.
Fractional coordinates of all 4 atoms:
Co: 0.500 0.500 0.000  1.40
Co: 0.750 0.250 0.500  1.32
Co: 0.250 0.750 0.500  1.32
Pr: 0.000 0.000 0.000  -0.17

***

## Pr3Co (PBE)

Data for Pr3Co after structural relaxation.

Calculated values
- magnetic moment (μB per formula unit) = 0.381
- formation enthalpy at 0 K (meV/atom) = 410.9

a = 5.259 Å, b = 5.259 Å, c = 5.259 Å
α = 60.00°, β = 60.00°, γ = 60.00°
Last column: magnetic moment on the atom in μB.
Fractional coordinates of all 4 atoms:
Co: 0.750 0.750 0.750  -0.07
Pr: 0.000 0.000 0.000  0.00
Pr: 0.250 0.250 0.250  0.01
Pr: 0.500 0.500 0.500  0.00

***

## PrCo2 (PBE)

Data for PrCo2 after structural relaxation.

Calculated values
- magnetic moment (μB per formula unit) = 0.868
- formation enthalpy at 0 K (meV/atom) = 1459.9

a = 5.213 Å, b = 5.213 Å, c = 4.375 Å
α = 90.00°, β = 90.00°, γ = 90.00°
Fractional coordinates of all 6 atoms:
Co: 0.334 0.334 0.000
Co: 0.666 0.666 0.000
Co: 0.834 0.166 0.500
Co: 0.166 0.834 0.500
Pr: 0.000 0.000 0.000
Pr: 0.500 0.500 0.500

***

## Pr3Co (PBE)

Data for Pr3Co after structural relaxation.

Calculated values
- magnetic moment (μB per formula unit) = 0.042
- formation enthalpy at 0 K (meV/atom) = 383.9

a = 4.825 Å, b = 4.825 Å, c = 4.825 Å
α = 90.00°, β = 90.00°, γ = 90.00°
Last column: magnetic moment on the atom in μB.
Fractional coordinates of all 4 atoms:
Co: 0.000 0.000 0.000  -0.06
Pr: 0.500 0.500 0.000  0.00
Pr: 0.500 0.000 0.500  0.00
Pr: 0.000 0.500 0.500  0.00

***

## Pr5Co2 (PBE)

Data for Pr5Co2 after structural relaxation.

Calculated values
- magnetic moment (μB per formula unit) = 0.008
- formation enthalpy at 0 K (meV/atom) = -53.4

a = 9.019 Å, b = 9.019 Å, c = 7.143 Å
α = 95.92°, β = 95.92°, γ = 42.51°
Fractional coordinates of all 14 atoms:
Co: 0.405 0.816 0.074
Co: 0.184 0.595 0.426
Co: 0.816 0.405 0.574
Co: 0.595 0.184 0.926
Pr: 0.009 0.802 0.087
Pr: 0.356 0.217 0.180
Pr: 0.569 0.431 0.250
Pr: 0.783 0.644 0.320
Pr: 0.198 0.991 0.413
Pr: 0.802 0.009 0.587
Pr: 0.217 0.356 0.680
Pr: 0.431 0.569 0.750
Pr: 0.644 0.783 0.820
Pr: 0.991 0.198 0.913